1.
A relaxed structure of Tm2CuSi3Pt4, computed with PBE.

As for the final energy: -6.3256 eV/atom. The energy relative to the elements, uncorrected comes out at -94.4 kJ/mol of atoms. The value obtained for the calculated volume is 172.5 Å³ per cell.

It has space group P-4m2 (No. 115), with a = 4.1458 Å, b = 4.1458 Å, c = 10.0353 Å, α = 90.00°, β = 90.00° and γ = 90.00°. The inequivalent atoms are Tm at (0.0000, 0.5000, 0.2409), Cu at (0.5000, 0.5000, 0.0000), Si at (0.0000, 0.0000, 0.0000), Si at (0.0000, 0.5000, 0.6333), Pt at (0.0000, 0.0000, 0.5000), Pt at (0.0000, 0.5000, 0.8635) and Pt at (0.5000, 0.5000, 0.5000).

---

2.
A relaxed structure of TmCuSi2Pt, computed with PBE.

As for the final energy: -5.9176 eV/atom. The energy relative to the elements, uncorrected comes out at -79.8 kJ/mol of atoms. The value obtained for the calculated volume is 163.0 Å³ per cell.

It has space group I-4m2 (No. 119), with a = 4.0180 Å, b = 4.0180 Å, c = 10.0945 Å, α = 90.00°, β = 90.00° and γ = 90.00°. The inequivalent atoms are Tm at (0.0000, 0.0000, 0.0000), Cu at (0.0000, 0.5000, 0.2500), Si at (0.0000, 0.0000, 0.3855) and Pt at (0.0000, 0.5000, 0.7500).

---

3.
A relaxed structure of TmCuSi2Pt2, computed with PBE.

As for the final energy: -6.0785 eV/atom. The energy relative to the elements, uncorrected comes out at -80.0 kJ/mol of atoms. The value obtained for the calculated volume is 99.1 Å³ per cell.

It has space group P-3m1 (No. 164), with a = 4.1770 Å, b = 4.1770 Å, c = 6.5576 Å, α = 90.00°, β = 90.00° and γ = 120.00°. The inequivalent atoms are Tm at (0.0000, 0.0000, 0.0000), Cu at (0.0000, 0.0000, 0.5000), Si at (0.3333, 0.6667, 0.6998) and Pt at (0.3333, 0.6667, 0.2980).

---

4.
A relaxed structure of UCuSi2Pt, computed with PBE.

As for the final energy: -7.0219 eV/atom. The energy relative to the elements, uncorrected comes out at -54.8 kJ/mol of atoms. The value obtained for the calculated volume is 164.4 Å³ per cell.

It has space group I-4m2 (No. 119), with a = 4.0138 Å, b = 4.0138 Å, c = 10.2062 Å, α = 90.00°, β = 90.00° and γ = 90.00°. The inequivalent atoms are U at (0.0000, 0.0000, 0.0000), Cu at (0.0000, 0.5000, 0.7500), Si at (0.0000, 0.0000, 0.3864) and Pt at (0.0000, 0.5000, 0.2500).

---

5.
A relaxed structure of U2CuSi3Pt4, computed with PBE.

As for the final energy: -7.3828 eV/atom. The energy relative to the elements, uncorrected comes out at -64.9 kJ/mol of atoms. The value obtained for the calculated volume is 174.4 Å³ per cell.

It has space group P-4m2 (No. 115), with a = 4.1323 Å, b = 4.1323 Å, c = 10.2155 Å, α = 90.00°, β = 90.00° and γ = 90.00°. The inequivalent atoms are U at (0.0000, 0.5000, 0.2434), Cu at (0.5000, 0.5000, 0.0000), Si at (0.0000, 0.0000, 0.0000), Si at (0.0000, 0.5000, 0.6327), Pt at (0.0000, 0.0000, 0.5000), Pt at (0.0000, 0.5000, 0.8629) and Pt at (0.5000, 0.5000, 0.5000).

---

6.
A relaxed structure of U2CuSi4Pt3, computed with PBE.

As for the final energy: -7.3272 eV/atom. The energy relative to the elements, uncorrected comes out at -65.5 kJ/mol of atoms. The value obtained for the calculated volume is 171.5 Å³ per cell.

It has space group P-4m2 (No. 115), with a = 4.1595 Å, b = 4.1595 Å, c = 9.9108 Å, α = 90.00°, β = 90.00° and γ = 90.00°. The inequivalent atoms are U at (0.0000, 0.5000, 0.2481), Cu at (0.5000, 0.5000, 0.0000), Si at (0.0000, 0.0000, 0.5000), Si at (0.0000, 0.5000, 0.8676), Si at (0.5000, 0.5000, 0.5000), Pt at (0.0000, 0.0000, 0.0000) and Pt at (0.0000, 0.5000, 0.6253).

---

7.
A relaxed structure of VCuSiPt, computed with PBE.

As for the final energy: -6.4803 eV/atom. The energy relative to the elements, uncorrected comes out at -30.0 kJ/mol of atoms. The value obtained for the calculated volume is 216.2 Å³ per cell.

It has space group F-43m (No. 216), with a = 6.0015 Å, b = 6.0015 Å, c = 6.0015 Å, α = 90.00°, β = 90.00° and γ = 90.00°. The inequivalent atoms are V at (0.0000, 0.0000, 0.0000), Cu at (0.2500, 0.2500, 0.7500), Si at (0.2500, 0.2500, 0.2500) and Pt at (0.0000, 0.0000, 0.5000).

---

8.
A relaxed structure of YCuSi2Pt5, computed with PBE.

As for the final energy: -6.3371 eV/atom. The energy relative to the elements, uncorrected comes out at -58.1 kJ/mol of atoms. The value obtained for the calculated volume is 169.4 Å³ per cell.

It has space group P4/mmm (No. 123), with a = 4.0433 Å, b = 4.0433 Å, c = 10.3602 Å, α = 90.00°, β = 90.00° and γ = 90.00°. The inequivalent atoms are Y at (0.0000, 0.0000, 0.0000), Cu at (0.0000, 0.0000, 0.5000), Si at (0.5000, 0.5000, 0.2265), Pt at (0.0000, 0.5000, 0.3439) and Pt at (0.5000, 0.5000, 0.0000).

---

9.
A relaxed structure of Y2CuSiPt6, computed with PBE.

As for the final energy: -6.6869 eV/atom. The energy relative to the elements, uncorrected comes out at -78.9 kJ/mol of atoms. The value obtained for the calculated volume is 592.4 Å³ per cell.

It has space group R-3m (No. 166, hexagonal axes), with a = 5.5719 Å, b = 5.5719 Å, c = 22.0334 Å, α = 90.00°, β = 90.00° and γ = 120.00°. The inequivalent atoms are Y at (0.0000, 0.0000, 0.2026), Cu at (0.0000, 0.0000, 0.5000), Si at (0.0000, 0.0000, 0.0000) and Pt at (0.0073, 0.5036, 0.2560).

---

10.
A relaxed structure of YCuSi2Pt, computed with PBE.

As for the final energy: -6.3431 eV/atom. For the relative energy among the computed polymorphs, the calculation gives 0 meV per atom. The energy relative to the elements, uncorrected comes out at -82.4 kJ/mol of atoms. The value obtained for the calculated volume is 166.0 Å³ per cell.

It has space group I-4m2 (No. 119), with a = 4.0481 Å, b = 4.0481 Å, c = 10.1308 Å, α = 90.00°, β = 90.00° and γ = 90.00°. The inequivalent atoms are Y at (0.0000, 0.0000, 0.0000), Cu at (0.0000, 0.5000, 0.2500), Si at (0.0000, 0.0000, 0.3845) and Pt at (0.0000, 0.5000, 0.7500).

---

11.
A relaxed structure of YCuSi2Pt, computed with PBE.

As for the final energy: -5.2876 eV/atom. For the relative energy among the computed polymorphs, the calculation gives 1055 meV per atom. The energy relative to the elements, uncorrected comes out at 19.5 kJ/mol of atoms. The value obtained for the calculated volume is 116.8 Å³ per cell.

It has space group P4/mmm (No. 123), with a = 4.5995 Å, b = 4.5995 Å, c = 5.5228 Å, α = 90.00°, β = 90.00° and γ = 90.00°. The inequivalent atoms are Y at (0.0000, 0.0000, 0.0000), Cu at (0.5000, 0.5000, 0.0000), Si at (0.0000, 0.5000, 0.5000) and Pt at (0.0000, 0.0000, 0.5000).

---

12.
A relaxed structure of Y2CuSi4Pt3, computed with PBE.

As for the final energy: -6.6732 eV/atom. The energy relative to the elements, uncorrected comes out at -95.5 kJ/mol of atoms. The value obtained for the calculated volume is 171.7 Å³ per cell.

It has space group P-4m2 (No. 115), with a = 4.1455 Å, b = 4.1455 Å, c = 9.9890 Å, α = 90.00°, β = 90.00° and γ = 90.00°. The inequivalent atoms are Y at (0.0000, 0.5000, 0.2463), Cu at (0.5000, 0.5000, 0.0000), Si at (0.0000, 0.0000, 0.5000), Si at (0.0000, 0.5000, 0.8666), Si at (0.5000, 0.5000, 0.5000), Pt at (0.0000, 0.0000, 0.0000) and Pt at (0.0000, 0.5000, 0.6256).

---

13.
A relaxed structure of YCuSi2Pt2, computed with PBE.

As for the final energy: -6.4275 eV/atom. The energy relative to the elements, uncorrected comes out at -81.6 kJ/mol of atoms. The value obtained for the calculated volume is 101.0 Å³ per cell.

It has space group P-3m1 (No. 164), with a = 4.1838 Å, b = 4.1838 Å, c = 6.6639 Å, α = 90.00°, β = 90.00° and γ = 120.00°. The inequivalent atoms are Y at (0.0000, 0.0000, 0.0000), Cu at (0.0000, 0.0000, 0.5000), Si at (0.3333, 0.6667, 0.3018) and Pt at (0.3333, 0.6667, 0.6951).

---

14.
A relaxed structure of ZnCuSiPt, computed with PBE.

As for the final energy: -4.4414 eV/atom. The energy relative to the elements, uncorrected comes out at -22.5 kJ/mol of atoms. The value obtained for the calculated volume is 221.6 Å³ per cell.

It has space group F-43m (No. 216), with a = 6.0515 Å, b = 6.0515 Å, c = 6.0515 Å, α = 90.00°, β = 90.00° and γ = 90.00°. The inequivalent atoms are Zn at (0.0000, 0.0000, 0.0000), Cu at (0.2500, 0.2500, 0.2500), Si at (0.0000, 0.0000, 0.5000) and Pt at (0.2500, 0.2500, 0.7500).

---

15.
A relaxed structure of Zr2CuSi4Pt3, computed with PBE.

As for the final energy: -6.9337 eV/atom. The energy relative to the elements, uncorrected comes out at -80.4 kJ/mol of atoms. The value obtained for the calculated volume is 160.7 Å³ per cell.

It has space group P-4m2 (No. 115), with a = 3.8755 Å, b = 3.8755 Å, c = 10.7003 Å, α = 90.00°, β = 90.00° and γ = 90.00°. The inequivalent atoms are Zr at (0.0000, 0.5000, 0.2262), Cu at (0.5000, 0.5000, 0.0000), Si at (0.0000, 0.0000, 0.5000), Si at (0.0000, 0.5000, 0.8618), Si at (0.5000, 0.5000, 0.5000), Pt at (0.0000, 0.0000, 0.0000) and Pt at (0.0000, 0.5000, 0.6395).

---

16.
A relaxed structure of Sm3CuPt8, computed with PBE.

As for the final energy: -6.4441 eV/atom. The energy relative to the elements is -0.896 eV per atom. The value obtained for the calculated volume is 682.4 Å³ per cell.

It has space group R3m (No. 160, hexagonal axes), with a = 5.4424 Å, b = 5.4424 Å, c = 26.6012 Å, α = 90.00°, β = 90.00° and γ = 120.00°. The inequivalent atoms are Sm at (0.0000, 0.0000, 0.0000), Sm at (0.0000, 0.0000, 0.1302), Sm at (0.0000, 0.0000, 0.6095), Cu at (0.0000, 0.0000, 0.4829), Pt at (0.0000, 0.0000, 0.3105), Pt at (0.0000, 0.0000, 0.8111), Pt at (0.0005, 0.5002, 0.0606) and Pt at (0.0027, 0.5014, 0.5606).

---

17.
A relaxed structure of SmCu2Pt2, computed with PBE.

As for the final energy: -5.5620 eV/atom. The energy relative to the elements is -0.563 eV per atom. The value obtained for the calculated volume is 358.8 Å³ per cell.

It has space group I4/mmm (No. 139), with a = 4.0056 Å, b = 4.0056 Å, c = 22.3610 Å, α = 90.00°, β = 90.00° and γ = 90.00°. The inequivalent atoms are Sm at (0.0000, 0.0000, 0.1282), Cu at (0.0000, 0.0000, 0.3209), Cu at (0.0000, 0.5000, 0.0000), Pt at (0.0000, 0.0000, 0.4299) and Pt at (0.0000, 0.5000, 0.2500).

---

18.
A relaxed structure of Sm3Cu2Pt5, computed with PBE.

As for the final energy: -6.1185 eV/atom. The energy relative to the elements is -0.863 eV per atom. The value obtained for the calculated volume is 379.4 Å³ per cell.

It has space group P4/mbm (No. 127), with a = 9.7114 Å, b = 9.7114 Å, c = 4.0224 Å, α = 90.00°, β = 90.00° and γ = 90.00°. The inequivalent atoms are Sm at (0.0000, 0.0000, 0.0000), Sm at (0.1760, 0.3240, 0.0000), Cu at (0.1172, 0.6172, 0.0000), Pt at (0.0000, 0.5000, 0.5000) and Pt at (0.0710, 0.7830, 0.5000).

---

19.
A relaxed structure of Sm6Cu2Pt, computed with PBE.

As for the final energy: -5.0544 eV/atom. For the relative energy among the computed polymorphs, the calculation gives 0 meV per atom. The energy relative to the elements is -0.327 eV per atom. The value obtained for the calculated volume is 947.8 Å³ per cell.

It has space group Immm (No. 71), with a = 9.7606 Å, b = 9.8330 Å, c = 9.8752 Å, α = 90.00°, β = 90.00° and γ = 90.00°. The inequivalent atoms are Sm at (0.0000, 0.1828, 0.2436), Sm at (0.1990, 0.5000, 0.3275), Sm at (0.2371, 0.3266, 0.0000), Cu at (0.0000, 0.3552, 0.5000), Cu at (0.0000, 0.5000, 0.1203), Pt at (0.0000, 0.0000, 0.0000) and Pt at (0.0000, 0.0000, 0.5000).

---

20.
A relaxed structure of Sm8Cu2Pt, computed with PBE.

As for the final energy: -4.9869 eV/atom. The energy relative to the elements is -0.261 eV per atom. The value obtained for the calculated volume is 607.4 Å³ per cell.

It has space group C2/m (No. 12), with a = 17.7688 Å, b = 5.1364 Å, c = 6.8175 Å, α = 90.00°, β = 102.53° and γ = 90.00°. The inequivalent atoms are Sm at (0.0330, 0.0000, 0.2817), Sm at (0.0890, 0.5000, 0.9451), Sm at (0.1658, 0.5000, 0.4748), Sm at (0.2013, 0.0000, 0.8395), Cu at (0.1902, 0.0000, 0.2431) and Pt at (0.0000, 0.5000, 0.5000).

---

21.
A relaxed structure of SmCu5Pt2, computed with PBE.

As for the final energy: -4.8925 eV/atom. The energy relative to the elements is -0.232 eV per atom. The value obtained for the calculated volume is 262.9 Å³ per cell.

It has space group Immm (No. 71), with a = 3.9089 Å, b = 7.2312 Å, c = 9.2997 Å, α = 90.00°, β = 90.00° and γ = 90.00°. The inequivalent atoms are Sm at (0.0000, 0.0000, 0.0000), Cu at (0.0000, 0.1742, 0.3631), Cu at (0.0000, 0.5000, 0.0000) and Pt at (0.0000, 0.5000, 0.2691).

---

22.
A relaxed structure of SmCu2Pt6, computed with PBE.

As for the final energy: -5.4540 eV/atom. The energy relative to the elements is 0.008 eV per atom. The value obtained for the calculated volume is 1423.3 Å³ per cell.

It has space group Fd-3m (No. 227, origin choice 2), with a = 11.2485 Å, b = 11.2485 Å, c = 11.2485 Å, α = 90.00°, β = 90.00° and γ = 90.00°. The inequivalent atoms are Sm at (0.1250, 0.1250, 0.1250), Cu at (0.0000, 0.0000, 0.5000) and Pt at (0.1217, 0.3750, 0.3750).

---

23.
A relaxed structure of Sm3Cu4Pt2, computed with PBE.

As for the final energy: -5.3254 eV/atom. The energy relative to the elements is -0.589 eV per atom. The value obtained for the calculated volume is 360.6 Å³ per cell.

It has space group C2/m (No. 12), with a = 10.6793 Å, b = 4.2606 Å, c = 8.4700 Å, α = 90.00°, β = 110.66° and γ = 90.00°. The inequivalent atoms are Sm at (0.0000, 0.0000, 0.0000), Sm at (0.1736, 0.5000, 0.6579), Cu at (0.0405, 0.0000, 0.3843), Cu at (0.2255, 0.5000, 0.0528) and Pt at (0.1094, 0.5000, 0.2712).